Record 1
DFT (PBE) results for a relaxed structure of CoTe2.

**Uncorrected formation energy**: 71.1 kJ/mol of atoms
**Crystal system**: hexagonal
**Total magnetic moment**: 0.29 μB/atom

a = 6.8606 Å, b = 6.8606 Å, c = 11.2684 Å
α = 90.00°, β = 90.00°, γ = 120.00°
Space group P6_3/mmc (No. 194)
Inequivalent atoms, fractional coordinates:
Co  0.3333  0.6667  0.1334 [4 per cell]
Te  0.0000  0.0000  0.0000 [2 per cell]
Te  0.1589  0.3178  0.2500 [6 per cell]


Record 2
DFT (PBE) results for a relaxed structure of CoTe2.

**Uncorrected formation energy**: -6.5 kJ/mol of atoms
**Crystal system**: hexagonal
**Total magnetic moment**: 0.00 μB/atom

a = 3.6900 Å, b = 3.6900 Å, c = 12.1537 Å
α = 90.00°, β = 90.00°, γ = 120.00°
Space group P6_3/mmc (No. 194)
Inequivalent atoms, fractional coordinates:
Co  0.0000  0.0000  0.2500 [2 per cell]
Te  0.3333  0.6667  0.1295 [4 per cell]


Record 3
DFT (PBE) results for a relaxed structure of CoTe.

**Uncorrected formation energy**: 19.8 kJ/mol of atoms
**Crystal system**: orthorhombic
**Total magnetic moment**: 0.30 μB/atom

a = 3.212 Å, b = 3.997 Å, c = 13.294 Å
α = 90.00°, β = 90.00°, γ = 90.00°
Space group Imma (No. 74)
Inequivalent atoms, fractional coordinates:
Co  0.000  0.250  0.048 [4 per cell]
Te  0.000  0.250  0.613 [4 per cell]


Record 4
DFT (PBE) results for a relaxed structure of Co2Te.

**Uncorrected formation energy**: 24.6 kJ/mol of atoms
**Crystal system**: tetragonal
**Total magnetic moment**: 0.90 μB/atom
**Polymorph energy (0 for the lowest one)**: 294 meV/atom

a = 3.702 Å, b = 3.702 Å, c = 30.108 Å
α = 90.00°, β = 90.00°, γ = 90.00°
Space group I4_1/amd (No. 141, origin choice 2)
Inequivalent atoms, fractional coordinates:
Co  0.000  0.250  0.125 [8 per cell]
Co  0.000  0.250  0.321 [8 per cell]
Te  0.000  0.250  0.807 [8 per cell]


Here are the calculated calculated density numbers, same order: 4.543; 7.280; 7.261; 7.905 (Mg/m³).
Here are the calculated volume numbers, same order: 38.28; 23.89; 21.33; 17.19 (Å³ per atom).